1.
VASP calculation (PBE) on a relaxed structure of LiBe2Ir.

a = 2.6375 Å, b = 2.6375 Å, c = 7.8420 Å
α = 90.00°, β = 90.00°, γ = 114.24°
Last column: nearest neighbours and their distance in Å.
Positions (direct):
Li (0.5000, 0.5000, 0.7500)  4 Be 2.55, 4 Li 2.64
Be (0.0000, 0.0000, 0.4809)  2 Ir 2.31, 2 Li 2.55
Be (0.0000, 0.0000, 0.0191)  2 Ir 2.31, 2 Li 2.55
Ir (0.5000, 0.5000, 0.2500)  4 Be 2.31

Calculated values
Formation energy from the elements = 67.5 meV per atom
Space-group type = Cmmm (65)

---

2.
VASP calculation (PBE) on a relaxed structure of Dy2Si3Pd2.

a = 4.2107 Å, b = 5.5604 Å, c = 6.4059 Å
α = 113.44°, β = 90.00°, γ = 112.25°
Last column: nearest neighbours and their distance in Å.
Positions (direct):
Si (0.5000, 0.0000, 0.0000)  2 Si 2.54, 4 Pd 2.67
Si (0.5986, 0.1972, 0.4382)  2 Si 2.48-2.54, 3 Pd 2.55-2.56
Si (0.4014, 0.8028, 0.5618)  2 Si 2.48-2.54, 3 Pd 2.55-2.56
Pd (0.8574, 0.7148, 0.7504)  5 Si 2.55-2.67
Pd (0.1426, 0.2852, 0.2496)  5 Si 2.55-2.67
Dy (0.8497, 0.6994, 0.2219)  5 Si 2.91-3.25, 4 Pd 2.94-3.06
Dy (0.1503, 0.3006, 0.7781)  5 Si 2.91-3.25, 4 Pd 2.94-3.06

Calculated values
Uncorrected formation energy = -776 meV per atom
Polymorph energy (0 for the lowest one) = 142 meV per atom
Space-group type = C2/m (12)

---

3.
VASP calculation (PBE) on a relaxed structure of SbTeCl2.

a = 7.6176 Å, b = 7.6176 Å, c = 5.8604 Å
α = 67.11°, β = 67.11°, γ = 26.06°
Last column: nearest neighbours and their distance in Å.
Positions (direct):
Cl (0.0967, 0.0967, 0.9050)  2 Sb 2.70
Cl (0.4033, 0.4033, 0.5950)  2 Sb 2.70
Te (0.2500, 0.2500, 0.2500)  4 Sb 3.40, 2 Te 3.44, 4 Cl 3.60
Sb (0.7500, 0.7500, 0.7500)  4 Cl 2.70

Calculated values
Uncorrected formation energy = -216 meV per atom
Polymorph energy (0 for the lowest one) = 314 meV per atom
Space-group type = C2/m (12)

---

For each record above, in turn, the calculated V values are 50 125 137 Å³/cell.
For each record above, in turn, the calculated final energy values are -4.489 -5.898 -2.955 eV/atom.
For each record above, in turn, the calculated magnetic moment values are 0.0000 0.0000 0.0013 μB/atom.